AcPtPb2O6: relaxed, PBE-GGA.

a b c (Å): 5.724 6.480 10.347
angles (deg): 90.00 123.54 90.00
Positions (direct):
1 Ac 0.000 0.000 0.000
2 Ac 0.000 0.500 0.500
3 Pt 0.500 0.000 0.500
4 Pt 0.500 0.500 0.000
5 Pb 0.213 0.047 0.721
6 Pb 0.213 0.453 0.221
7 Pb 0.787 0.547 0.779
8 Pb 0.787 0.953 0.279
9 O 0.178 0.161 0.479
10 O 0.178 0.339 0.979
11 O 0.244 0.749 0.929
12 O 0.244 0.751 0.429
13 O 0.376 0.063 0.279
14 O 0.376 0.437 0.779
15 O 0.624 0.563 0.221
16 O 0.624 0.937 0.721
17 O 0.756 0.249 0.571
18 O 0.756 0.251 0.071
19 O 0.822 0.661 0.021
20 O 0.822 0.839 0.521

The space group is P2_1/c (14). The total energy comes out at -123.0 eV per cell. The formation energy (no corrections) is -1417.5 meV/atom.